Here is Fe3Co2Pt4 after structural relaxation from Alexandria. Energies are from PBE-GGA.

Its volume is 245.4 Å³ per cell. The formation enthalpy at 0 K comes out at -0.1691 eV per atom.

The structure belongs to space group C2/m (No. 12); the cell edges are 8.4550, 3.8297 and 7.9798 Å and the angles 90.00°, 108.22° and 90.00°. The inequivalent atoms are Fe at (0.0000, 0.0000, 0.0000), Fe at (0.1660, 0.5000, 0.5575), Co at (0.1768, 0.5000, 0.2354), Pt at (0.0083, 0.0000, 0.3337) and Pt at (0.1646, 0.5000, 0.8897).

=====

Here is Fe3Co3Pt after structural relaxation from Alexandria. Energies are from PBE-GGA.

Its volume is 350.3 Å³ per cell. The formation enthalpy at 0 K comes out at 0.0934 eV per atom.

The structure belongs to space group P2_13 (No. 198); the cell edges are 7.0494, 7.0494 and 7.0494 Å and the angles 90.00°, 90.00° and 90.00°. The inequivalent atoms are Fe at (0.0562, 0.3226, 0.8753), Co at (0.1440, 0.6440, 0.8560), Co at (0.1500, 0.8500, 0.3500), Co at (0.1748, 0.1748, 0.1748) and Pt at (0.0314, 0.4686, 0.5314).

=====

Here is Fe5CoPt2 after structural relaxation from Alexandria. Energies are from PBE-GGA.

Its volume is 208.1 Å³ per cell. The formation enthalpy at 0 K comes out at -0.0967 eV per atom.

The structure belongs to space group I4/mmm (No. 139); the cell edges are 5.3214, 5.3214 and 7.3487 Å and the angles 90.00°, 90.00° and 90.00°. The inequivalent atoms are Fe at (0.0000, 0.0000, 0.0000), Fe at (0.2500, 0.2500, 0.2500), Co at (0.0000, 0.0000, 0.5000) and Pt at (0.0000, 0.5000, 0.0000).

=====

Here is Fe3Co2Pt2 after structural relaxation from Alexandria. Energies are from PBE-GGA.

Its volume is 294.4 Å³ per cell. The formation enthalpy at 0 K comes out at 0.1341 eV per atom.

The structure belongs to space group R-3m (No. 166, hexagonal axes); the cell edges are 4.1688, 4.1688 and 19.5722 Å and the angles 90.00°, 90.00° and 120.00°. The inequivalent atoms are Fe at (0.0000, 0.0000, 0.0000), Fe at (0.0000, 0.0000, 0.2426), Co at (0.0000, 0.0000, 0.1251) and Pt at (0.0000, 0.0000, 0.3820).